This record from Alexandria describes an optimized crystal structure of Ba2CeThO6. The functional is PBE.

The calculation puts the formation energy without anion corrections at -3.2590 eV per atom. For the total energy, the calculation gives -159.1 eV/cell. The calculation puts the magnetic moment at 0.00 μB/f.u.

The space group is P2_1/c (No. 14) and the conventional cell measures 6.338, 6.366 and 10.967 Å, with angles of 90.00, 125.19 and 90.00 degrees. The asymmetric unit holds Ba at (0.241, 0.028, 0.250), Ce at (0.000, 0.000, 0.500), Th at (0.500, 0.000, 0.000), O at (0.170, 0.220, 0.955), O at (0.234, 0.715, 0.955) and O at (0.331, 0.023, 0.747).